Model A:
Computed, not measured: an optimized crystal structure of ZrB4As at the PBE level of DFT.

- Calculated volume: 10.40 A^3/atom
- Magnetic moment: 0.00 μB per cell

a = 4.891 Å, b = 4.891 Å, c = 4.891 Å
α = 143.50°, β = 113.24°, γ = 78.55°
Sites, in units of the cell vectors:
Zr 0.000 0.000 0.000
B 0.083 0.750 0.333
B 0.417 0.750 0.667
B 0.583 0.250 0.333
B 0.917 0.250 0.667
As 0.500 0.500 0.000

***

Model B:
Computed, not measured: an optimized crystal structure of ZrB4As at the PBE level of DFT.

- Calculated volume: 10.41 A^3/atom
- Magnetic moment: 0.00 μB per cell

a = 3.127 Å, b = 3.127 Å, c = 7.376 Å
α = 90.00°, β = 90.00°, γ = 120.00°
Sites, in units of the cell vectors:
Zr 0.000 0.000 0.000
B 0.333 0.667 0.243
B 0.333 0.667 0.757
B 0.667 0.333 0.243
B 0.667 0.333 0.757
As 0.000 0.000 0.500

***

Which of them is the most stable, and which is the least stable? model B and model A, in that order.